[1]
Density functional theory data (PBE-GGA) for a geometry-optimized KErGeO4 structure.

D(E_F) in states/eV/f.u.: 0.00
M_tot in μB per formula unit: 0.00
Symmetry: P2_1/m, No. 11
Formation energy (no corrections) in eV/f.u.: -16.76
E_tot in eV per atom: -6.6965

a = 5.7180 Å, b = 5.8694 Å, c = 7.4268 Å
α = 90.00°, β = 108.07°, γ = 90.00°
Atoms (fractional coordinates):
O  0.0424  0.9774  0.3215
O  0.5269  0.2500  0.4306
Ge  0.7405  0.2500  0.6615
O  0.0424  0.5226  0.3215
O  0.9576  0.0226  0.6785
K  0.3175  0.2500  0.0681
Ge  0.2595  0.7500  0.3385
Er  0.1993  0.2500  0.5376
Er  0.8007  0.7500  0.4624
O  0.9576  0.4774  0.6785
K  0.6825  0.7500  0.9319
O  0.4731  0.7500  0.5694
O  0.4550  0.7500  0.1963
O  0.5450  0.2500  0.8037

***

[2]
Density functional theory data (PBE-GGA) for a geometry-optimized PrHoScIn structure.

D(E_F) in states/eV/f.u.: 6.11
ΔE_f in eV per formula unit: -0.34
M_tot in μB per formula unit: 1.99
Symmetry: F-43m, No. 216
E_tot in eV per atom: -4.6926
ΔE to the lowest computed polymorph in eV/atom: 0.073

a = 5.3759 Å, b = 5.3759 Å, c = 5.3782 Å
α = 119.99°, β = 119.99°, γ = 90.00°
Each line ends with the local moment (μB).
Atoms (fractional coordinates):
Pr  0.7500  0.2500  0.5000  0.49
In  0.2500  0.7500  0.5000  -0.01
Ho  0.0000  0.0000  0.0000  0.37
Sc  0.5000  0.5000  0.0000  0.43

***

[3]
Density functional theory data (PBE-GGA) for a geometry-optimized CdGaN2O structure.

D(E_F) in states/eV/f.u.: 1.52
M_tot in μB per formula unit: 2.99
Symmetry: P4/mmm, No. 123
Formation energy (no corrections) in eV/f.u.: 3.55
E_tot in eV per atom: -4.4002

a = 3.9946 Å, b = 3.9946 Å, c = 3.9196 Å
α = 90.00°, β = 90.00°, γ = 90.00°
Each line ends with the local moment (μB).
Atoms (fractional coordinates):
Cd  0.5000  0.5000  0.5000  -0.03
Ga  0.0000  0.0000  0.0000  -0.01
O  0.0000  0.0000  0.5000  0.40
N  0.0000  0.5000  0.0000  0.93
N  0.5000  0.0000  0.0000  0.93

***

[4]
Density functional theory data (PBE-GGA) for a geometry-optimized PrTc3 structure.

D(E_F) in states/eV/f.u.: 5.52
ΔE_f in eV per formula unit: 3.61
M_tot in μB per formula unit: 0.00
Symmetry: Fmmm, No. 69
E_tot in eV per atom: -8.0669

a = 5.0143 Å, b = 5.0143 Å, c = 9.4911 Å
α = 83.30°, β = 83.30°, γ = 123.93°
Atoms (fractional coordinates):
Pr  0.3964  0.3964  0.2071
Tc  0.2500  0.7500  0.5000
Tc  0.5000  0.0000  0.0000
Tc  0.7500  0.2500  0.5000
Tc  0.0000  0.5000  0.0000
Tc  0.7831  0.7831  0.4339
Pr  0.6036  0.6036  0.7929
Tc  0.2169  0.2169  0.5661

***

[5]
Density functional theory data (PBE-GGA) for a geometry-optimized Rb2InAgCl4 structure.

D(E_F) in states/eV/f.u.: 0.00
M_tot in μB per formula unit: 0.00
Symmetry: Imma, No. 74
Formation energy (no corrections) in eV/f.u.: -9.93
E_tot in eV per atom: -3.1047

a = 9.0265 Å, b = 9.0265 Å, c = 9.1221 Å
α = 120.35°, β = 120.35°, γ = 86.42°
Atoms (fractional coordinates):
Rb  0.5000  0.5000  0.0000
Cl  0.2033  0.7927  0.9980
Ag  0.5000  0.5000  0.5000
Cl  0.7967  0.2073  0.0020
Cl  0.7073  0.2967  0.5020
Ag  0.0000  0.0000  0.0000
Cl  0.2451  0.2549  0.9931
Rb  0.5000  0.0000  0.0000
Rb  0.5000  0.0000  0.5000
In  0.0000  0.5000  0.0000
In  0.0000  0.5000  0.5000
Cl  0.7549  0.7451  0.4931
Cl  0.2927  0.7033  0.4980
Rb  0.0000  0.0000  0.5000
Cl  0.2451  0.2549  0.5069
Cl  0.7549  0.7451  0.0069

***

[6]
Density functional theory data (PBE-GGA) for a geometry-optimized As4I5Br2 structure.

D(E_F) in states/eV/f.u.: 0.78
M_tot in μB per formula unit: 0.00
Symmetry: P-1, No. 2
Formation energy (no corrections) in eV/f.u.: -1.81
E_tot in eV per atom: -2.8639
ΔE to the lowest computed polymorph in eV/atom: 0.000

a = 16.1315 Å, b = 7.5438 Å, c = 9.4219 Å
α = 57.94°, β = 34.51°, γ = 58.27°
Atoms (fractional coordinates):
I  0.5000  0.5000  0.5000
As  0.4970  0.8738  0.1706
As  0.5030  0.1262  0.8294
Br  0.1798  0.3569  0.4180
I  0.3784  0.8933  0.9359
Br  0.8202  0.6431  0.5820
As  0.7518  0.9835  0.4230
As  0.2482  0.0165  0.5770
I  0.0850  0.7976  0.7584
I  0.6216  0.1067  0.0641
I  0.9150  0.2024  0.2416

***

[7]
Density functional theory data (PBE-GGA) for a geometry-optimized YSi3Os structure.

D(E_F) in states/eV/f.u.: 4.61
M_tot in μB per formula unit: 2.21
Symmetry: Pm-3m, No. 221
Formation energy (no corrections) in eV/f.u.: 10.98
E_tot in eV per atom: -4.5967

a = 5.0542 Å, b = 5.0542 Å, c = 5.0542 Å
α = 90.00°, β = 90.00°, γ = 90.00°
Each line ends with the local moment (μB).
Atoms (fractional coordinates):
Si  0.0000  0.5000  0.0000  -0.02
Si  0.5000  0.0000  0.0000  0.00
Si  0.0000  0.0000  0.5000  -0.03
Y  0.0000  0.0000  0.0000  -0.02
Os  0.5000  0.5000  0.5000  2.20

***

[8]
Density functional theory data (PBE-GGA) for a geometry-optimized Ho3TlCu2 structure.

D(E_F) in states/eV/f.u.: 3.03
ΔE_f in eV per formula unit: -1.67
M_tot in μB per formula unit: 0.00
Symmetry: P4/mmm, No. 123
E_tot in eV per atom: -4.3277

a = 3.4811 Å, b = 3.4811 Å, c = 11.2500 Å
α = 90.00°, β = 90.00°, γ = 90.00°
Atoms (fractional coordinates):
Tl  0.5000  0.5000  0.5000
Cu  0.5000  0.5000  0.8459
Ho  0.0000  0.0000  0.3054
Cu  0.5000  0.5000  0.1541
Ho  0.0000  0.0000  0.0000
Ho  0.0000  0.0000  0.6946

***

[9]
Density functional theory data (PBE-GGA) for a geometry-optimized CdBrCl structure.

M_tot in μB per formula unit: 0.00
Symmetry: F-43m, No. 216
Formation energy (no corrections) in eV/f.u.: -2.13
E_tot in eV per atom: -2.1884

a = 4.8046 Å, b = 4.8046 Å, c = 4.8046 Å
α = 60.00°, β = 60.00°, γ = 60.00°
Atoms (fractional coordinates):
Cd  0.7500  0.7500  0.7500
Br  0.5000  0.5000  0.5000
Cl  0.0000  0.0000  0.0000

***

[10]
Density functional theory data (PBE-GGA) for a geometry-optimized Tb6Pm2Pr3Dy structure.

D(E_F) in states/eV/f.u.: 15.11
ΔE_f in eV per formula unit: 0.17
M_tot in μB per formula unit: 0.00
Symmetry: C2/m, No. 12
E_tot in eV per atom: -4.6715

a = 6.2667 Å, b = 6.2667 Å, c = 11.9257 Å
α = 95.01°, β = 95.01°, γ = 119.99°
Atoms (fractional coordinates):
Tb  0.2501  0.2501  0.7523
Pr  0.1667  0.8333  0.5000
Tb  0.4154  0.0826  0.2475
Tb  0.7499  0.7499  0.2477
Pm  0.3335  0.6665  0.0000
Tb  0.0826  0.4154  0.2475
Pm  0.6665  0.3335  0.0000
Tb  0.9174  0.5846  0.7525
Pr  0.5000  0.5000  0.5000
Dy  0.0000  0.0000  0.0000
Tb  0.5846  0.9174  0.7525
Pr  0.8333  0.1667  0.5000

***

[11]
Density functional theory data (PBE-GGA) for a geometry-optimized MnNiHg2 structure.

D(E_F) in states/eV/f.u.: 2.27
ΔE_f in eV per formula unit: 1.06
M_tot in μB per formula unit: 4.41
Symmetry: Cm, No. 8
E_tot in eV per atom: -3.6232
ΔE to the lowest computed polymorph in eV/atom: 0.008

a = 5.2344 Å, b = 5.2344 Å, c = 4.6851 Å
α = 72.25°, β = 72.25°, γ = 34.90°
Each line ends with the local moment (μB).
Atoms (fractional coordinates):
Hg  0.0216  0.0216  0.9561  -0.01
Hg  0.2347  0.2347  0.2858  0.00
Ni  0.7744  0.7744  0.7548  0.51
Mn  0.4693  0.4693  0.5033  3.75

***

[12]
Density functional theory data (PBE-GGA) for a geometry-optimized ZnInAs2 structure.

D(E_F) in states/eV/f.u.: 1.85
ΔE_f in eV per formula unit: 0.44
M_tot in μB per formula unit: 0.00
Symmetry: Pm, No. 6
E_tot in eV per atom: -3.2185

a = 3.7181 Å, b = 2.8793 Å, c = 8.2140 Å
α = 103.73°, β = 90.00°, γ = 90.00°
Atoms (fractional coordinates):
In  0.0000  0.3113  0.5173
Zn  0.5000  0.9777  0.7591
As  0.0000  0.0058  0.9983
As  0.5000  0.2052  0.2253

***

[13]
Density functional theory data (PBE-GGA) for a geometry-optimized Li2CaHg2Sb2 structure.

D(E_F) in states/eV/f.u.: 0.32
M_tot in μB per formula unit: 0.00
Symmetry: R-3m, No. 166
Formation energy (no corrections) in eV/f.u.: -3.34
E_tot in eV per atom: -2.5734

a = 4.7076 Å, b = 4.7076 Å, c = 9.2451 Å
α = 75.25°, β = 75.25°, γ = 60.00°
Atoms (fractional coordinates):
Sb  0.7361  0.7361  0.7916
Li  0.8567  0.8567  0.4300
Ca  0.0000  0.0000  0.0000
Li  0.1433  0.1433  0.5700
Sb  0.2639  0.2639  0.2084
Hg  0.4465  0.4465  0.6605
Hg  0.5535  0.5535  0.3395

***

[14]
Density functional theory data (PBE-GGA) for a geometry-optimized Ca3Ga6Pt5 structure.

D(E_F) in states/eV/f.u.: 6.99
ΔE_f in eV per formula unit: -11.94
M_tot in μB per formula unit: 0.00
Symmetry: Pmmn, No. 59
E_tot in eV per atom: -4.7362

a = 4.2796 Å, b = 9.4544 Å, c = 12.9134 Å
α = 90.00°, β = 90.00°, γ = 90.00°
Atoms (fractional coordinates):
Pt  0.0000  0.5370  0.8836
Ga  0.5000  0.4080  0.8182
Ga  0.5000  0.0190  0.6547
Ca  0.0000  0.2511  0.6963
Pt  0.5000  0.4630  0.3836
Pt  0.0000  0.8682  0.6580
Pt  0.5000  0.1991  0.5000
Ca  0.5000  0.7402  0.5000
Ga  0.0000  0.5920  0.3182
Ga  0.0000  0.5920  0.6818
Ga  0.5000  0.9631  0.0000
Ga  0.0000  0.9810  0.1547
Pt  0.5000  0.4630  0.6164
Pt  0.0000  0.5370  0.1164
Ga  0.0000  0.9810  0.8453
Pt  0.5000  0.1318  0.8420
Ca  0.0000  0.2599  0.0000
Ga  0.5000  0.4080  0.1818
Ca  0.5000  0.7489  0.8037
Pt  0.0000  0.8682  0.3420
Ca  0.0000  0.2511  0.3037
Ga  0.5000  0.5830  0.0000
Pt  0.5000  0.1318  0.1580
Ga  0.5000  0.0190  0.3453
Ga  0.0000  0.0369  0.5000
Ca  0.5000  0.7489  0.1963
Ga  0.0000  0.4170  0.5000
Pt  0.0000  0.8009  0.0000

***

[15]
Density functional theory data (PBE-GGA) for a geometry-optimized PmH3Pd structure.

D(E_F) in states/eV/f.u.: 1.13
M_tot in μB per formula unit: 0.00
Symmetry: Cm, No. 8
E_tot in eV per atom: -4.5359
ΔE to the lowest computed polymorph in eV/atom: 0.000

a = 3.8181 Å, b = 4.9722 Å, c = 6.2444 Å
α = 93.49°, β = 107.84°, γ = 90.01°
Atoms (fractional coordinates):
H  0.3671  0.7147  0.0896
H  0.7647  0.2016  0.8835
H  0.5874  0.7546  0.5309
H  0.3749  0.2375  0.1052
Pm  0.2051  0.9721  0.7645
H  0.9902  0.9942  0.3357
Pd  0.6471  0.4394  0.6502
H  0.1491  0.4544  0.6531
Pm  0.9316  0.4722  0.2184
Pd  0.4811  0.9836  0.3169

***

[16]
Density functional theory data (PBE-GGA) for a geometry-optimized NdI2Cl structure.

D(E_F) in states/eV/f.u.: 0.00
M_tot in μB per formula unit: 0.00
Symmetry: Imm2, No. 44
Formation energy (no corrections) in eV/f.u.: -6.71
E_tot in eV per atom: -4.1061
ΔE to the lowest computed polymorph in eV/atom: 0.029

a = 4.5353 Å, b = 5.4875 Å, c = 8.3543 Å
α = 109.18°, β = 105.75°, γ = 89.99°
Atoms (fractional coordinates):
I  0.1442  0.1535  0.2880
Cl  0.5000  0.5086  0.9999
I  0.8559  0.8655  0.7121
Nd  0.5000  0.0084  0.0000

***

[17]
Density functional theory data (PBE-GGA) for a geometry-optimized Cu2PtCl structure.

D(E_F) in states/eV/f.u.: 3.72
M_tot in μB per formula unit: 0.00
Symmetry: P4mm, No. 99
Formation energy (no corrections) in eV/f.u.: 0.60
E_tot in eV per atom: -3.8709
ΔE to the lowest computed polymorph in eV/atom: 0.192

a = 3.0978 Å, b = 3.0978 Å, c = 6.5348 Å
α = 90.00°, β = 90.00°, γ = 90.00°
Atoms (fractional coordinates):
Pt  0.0000  0.0000  0.4331
Cl  0.5000  0.5000  0.8147
Cu  0.5000  0.5000  0.2280
Cu  0.0000  0.0000  0.0243

***

[18]
Density functional theory data (PBE-GGA) for a geometry-optimized AgPt2 structure.

D(E_F) in states/eV/f.u.: 3.56
ΔE_f in eV per formula unit: 0.04
M_tot in μB per formula unit: 0.00
Symmetry: P2/m, No. 10
E_tot in eV per atom: -4.9632
ΔE to the lowest computed polymorph in eV/atom: 0.022

a = 2.7901 Å, b = 8.7418 Å, c = 8.4960 Å
α = 69.93°, β = 90.00°, γ = 90.00°
Atoms (fractional coordinates):
Pt  0.0000  0.9978  0.6702
Ag  0.0000  0.0025  0.0021
Pt  0.0000  0.5022  0.1632
Ag  0.5000  0.7514  0.2535
Ag  0.0000  0.4975  0.8313
Pt  0.0000  0.4894  0.4984
Pt  0.0000  0.0106  0.3349
Pt  0.5000  0.7500  0.9167
Ag  0.5000  0.7486  0.5799
Pt  0.5000  0.2490  0.7475
Pt  0.5000  0.2500  0.4167
Pt  0.5000  0.2510  0.0858

***

[19]
Density functional theory data (PBE-GGA) for a geometry-optimized SrCa2Sn9 structure.

D(E_F) in states/eV/f.u.: 4.76
ΔE_f in eV per formula unit: -4.63
M_tot in μB per formula unit: 0.00
Symmetry: P4/mmm, No. 123
E_tot in eV per atom: -3.8613

a = 4.7976 Å, b = 4.7976 Å, c = 14.3618 Å
α = 90.00°, β = 90.00°, γ = 90.00°
Atoms (fractional coordinates):
Sr  0.0000  0.0000  0.0000
Sn  0.0000  0.5000  0.8284
Sn  0.0000  0.5000  0.1716
Sn  0.5000  0.5000  0.6646
Sn  0.0000  0.5000  0.5000
Sn  0.5000  0.5000  0.3354
Sn  0.5000  0.0000  0.1716
Sn  0.5000  0.0000  0.8284
Sn  0.5000  0.5000  0.0000
Ca  0.0000  0.0000  0.6646
Sn  0.5000  0.0000  0.5000
Ca  0.0000  0.0000  0.3354

***

[20]
Density functional theory data (PBE-GGA) for a geometry-optimized Nd3SmPd2 structure.

D(E_F) in states/eV/f.u.: 5.98
ΔE_f in eV per formula unit: -2.52
M_tot in μB per formula unit: 0.00
Symmetry: Ibam, No. 72
E_tot in eV per atom: -5.3216
ΔE to the lowest computed polymorph in eV/atom: 0.072

a = 7.1159 Å, b = 7.3180 Å, c = 8.7210 Å
α = 114.81°, β = 114.08°, γ = 90.00°
Atoms (fractional coordinates):
Pd  0.8478  0.1393  0.2786
Pd  0.1522  0.8607  0.7214
Nd  0.7664  0.5164  0.5328
Nd  0.7664  0.0164  0.5328
Nd  0.2336  0.9836  0.4672
Pd  0.5692  0.3607  0.7214
Pd  0.4308  0.6393  0.2786
Nd  0.5000  0.7500  0.0000
Sm  0.0000  0.0000  0.0000
Nd  0.5000  0.2500  0.0000
Sm  0.0000  0.5000  0.0000
Nd  0.2336  0.4836  0.4672

***

[21]
Density functional theory data (PBE-GGA) for a geometry-optimized PmPr3Sm6Dy2 structure.

D(E_F) in states/eV/f.u.: 17.36
ΔE_f in eV per formula unit: 0.19
M_tot in μB per formula unit: 0.00
Symmetry: C2/m, No. 12
E_tot in eV per atom: -4.7014

a = 6.3038 Å, b = 6.3038 Å, c = 12.0668 Å
α = 95.01°, β = 95.01°, γ = 120.00°
Atoms (fractional coordinates):
Pr  0.8331  0.1669  0.5000
Sm  0.0824  0.4164  0.2463
Dy  0.3333  0.6667  0.0000
Sm  0.4164  0.0824  0.2463
Pr  0.5000  0.5000  0.5000
Sm  0.5836  0.9176  0.7537
Sm  0.9176  0.5836  0.7537
Dy  0.6667  0.3333  0.0000
Sm  0.2515  0.2515  0.7537
Sm  0.7485  0.7485  0.2463
Pr  0.1669  0.8331  0.5000
Pm  0.0000  0.0000  0.0000

***

[22]
Density functional theory data (PBE-GGA) for a geometry-optimized BeAg2C2O6 structure.

D(E_F) in states/eV/f.u.: 0.00
M_tot in μB per formula unit: 0.00
Symmetry: C2/m, No. 12
Formation energy (no corrections) in eV/f.u.: -11.84
E_tot in eV per atom: -6.3150

a = 4.6336 Å, b = 5.6542 Å, c = 6.2316 Å
α = 118.35°, β = 90.00°, γ = 114.19°
Atoms (fractional coordinates):
Be  0.5000  0.0000  0.5000
Ag  0.6765  0.3531  0.1736
C  0.0063  0.0126  0.2759
O  0.8677  0.7355  0.7166
O  0.6960  0.8756  0.2679
C  0.9937  0.9874  0.7241
O  0.8205  0.1244  0.7321
Ag  0.3235  0.6469  0.8264
O  0.3040  0.1244  0.7321
O  0.1323  0.2645  0.2834
O  0.1795  0.8756  0.2679

***

[23]
Density functional theory data (PBE-GGA) for a geometry-optimized Al2CrPb structure.

D(E_F) in states/eV/f.u.: 2.67
ΔE_f in eV per formula unit: 1.51
M_tot in μB per formula unit: 3.67
Symmetry: P4/mmm, No. 123
E_tot in eV per atom: -4.8277

a = 4.1736 Å, b = 4.1736 Å, c = 4.4641 Å
α = 90.00°, β = 90.00°, γ = 90.00°
Each line ends with the local moment (μB).
Atoms (fractional coordinates):
Cr  0.5000  0.0000  0.5000  3.43
Al  0.0000  0.0000  0.0000  -0.02
Al  0.5000  0.5000  0.0000  -0.02
Pb  0.0000  0.5000  0.5000  -0.03